Record 1
The following is a GGA-PBE calculation of a geometry-optimized LuThSn2 structure, from Alexandria.

POSCAR file:
```
LuThSn2
1.0
1.7863 1.0313 10.0973
-1.7863 1.0313 10.0973
0.0000 -2.0626 10.0973
Lu Th Sn
1 1 2
direct
0.0000 0.0000 0.0000
0.5000 0.5000 0.5000
0.2543 0.2543 0.2543
0.7457 0.7457 0.7457
```

Properties
The value obtained for the calculated volume is 27.90 Å³ per atom. As for the formation enthalpy at 0 K: -377 meV per atom.

Record 2
The following is a GGA-PBE calculation of a geometry-optimized Lu2ThSn structure, from Alexandria.

POSCAR file:
```
Lu2ThSn
1.0
4.8439 0.0000 0.0000
0.0000 4.8439 0.0000
0.0000 0.0000 4.7077
Lu Th Sn
2 1 1
direct
0.0000 0.5000 0.0000
0.5000 0.0000 0.0000
0.0000 0.0000 0.5000
0.5000 0.5000 0.5000
```

Properties
The value obtained for the calculated volume is 27.61 Å³ per atom. As for the formation enthalpy at 0 K: -335 meV per atom.

Record 3
The following is a GGA-PBE calculation of a geometry-optimized LuThSn2 structure, from Alexandria.

POSCAR file:
```
LuThSn2
1.0
0.0000 3.8069 3.8069
3.8069 0.0000 3.8069
3.8069 3.8069 0.0000
Lu Th Sn
1 1 2
direct
0.0000 0.0000 0.0000
0.5000 0.5000 0.5000
0.2500 0.2500 0.2500
0.7500 0.7500 0.7500
```

Properties
The value obtained for the calculated volume is 27.58 Å³ per atom. As for the formation enthalpy at 0 K: -420 meV per atom.

Record 4
The following is a GGA-PBE calculation of a geometry-optimized LuThZnSn structure, from Alexandria.

POSCAR file:
```
LuThZnSn
1.0
0.0000 3.7089 3.7089
3.7089 0.0000 3.7089
3.7089 3.7089 0.0000
Lu Th Zn Sn
1 1 1 1
direct
0.0000 0.0000 0.0000
0.5000 0.5000 0.5000
0.2500 0.2500 0.2500
0.7500 0.7500 0.7500
```

Properties
The value obtained for the calculated volume is 25.51 Å³ per atom. As for the formation enthalpy at 0 K: -337 meV per atom.

Record 5
The following is a GGA-PBE calculation of a geometry-optimized LuTi2Sn structure, from Alexandria.

POSCAR file:
```
LuTi2Sn
1.0
4.3706 0.0000 0.0000
0.0000 4.3706 0.0000
0.0000 0.0000 4.2975
Lu Ti Sn
1 2 1
direct
0.0000 0.0000 0.0000
0.0000 0.5000 0.5000
0.5000 0.0000 0.5000
0.5000 0.5000 0.0000
```

Properties
The value obtained for the calculated volume is 20.52 Å³ per atom. As for the formation enthalpy at 0 K: -180 meV per atom.

Record 6
The following is a GGA-PBE calculation of a geometry-optimized LuTiSn structure, from Alexandria.

POSCAR file:
```
LuTiSn
1.0
4.9247 0.0000 0.0000
-2.4623 4.2649 0.0000
0.0000 0.0000 3.3014
Lu Ti Sn
1 1 1
direct
0.0000 0.0000 0.0000
0.3333 0.6667 0.5000
0.6667 0.3333 0.5000
```

Properties
The value obtained for the calculated volume is 23.11 Å³ per atom. As for the formation enthalpy at 0 K: -169 meV per atom.

Record 7
The following is a GGA-PBE calculation of a geometry-optimized Lu2TiSn structure, from Alexandria.

POSCAR file:
```
Lu2TiSn
1.0
4.6665 0.0000 0.0000
0.0000 4.6665 0.0000
0.0000 0.0000 4.3758
Lu Ti Sn
2 1 1
direct
0.0000 0.5000 0.0000
0.5000 0.0000 0.0000
0.0000 0.0000 0.5000
0.5000 0.5000 0.5000
```

Properties
The value obtained for the calculated volume is 23.82 Å³ per atom. As for the formation enthalpy at 0 K: -258 meV per atom.

Record 8
The following is a GGA-PBE calculation of a geometry-optimized LuTiSn2 structure, from Alexandria.

POSCAR file:
```
LuTiSn2
1.0
3.7384 0.0000 0.0000
0.0000 3.7384 0.0000
0.0000 0.0000 6.5121
Lu Ti Sn
1 1 2
direct
0.0000 0.0000 0.0000
0.0000 0.0000 0.5000
0.5000 0.5000 0.2763
0.5000 0.5000 0.7237
```

Properties
The value obtained for the calculated volume is 22.75 Å³ per atom. As for the formation enthalpy at 0 K: -295 meV per atom.

Question: Which of these has the highest calculated volume?
Answer: number 1

Question: What is the calculated volume in the third record?
Answer: 27.58 Å³ per atom

Question: Which formula does entry 5 have?
Answer: LuTi2Sn